HfZr2Al3Cu2Ir | PBE | optimized geometry

Computed properties:
Symmetry ... Amm2
VASP energy ... -6.66 eV/atom

Structure (POSCAR):
```
HfZr2Al3Cu2Ir
1.0
4.072 0.000 0.000
0.000 5.669 3.300
0.000 -5.669 3.300
Hf Zr Al Cu Ir
1 2 3 2 1
direct
0.000 0.000 0.000 Hf
0.000 0.166 0.584 Zr
0.000 0.584 0.166 Zr
0.500 0.337 0.337 Al
0.500 0.583 0.833 Al
0.500 0.833 0.583 Al
0.500 0.247 0.919 Cu
0.500 0.919 0.247 Cu
0.000 0.590 0.590 Ir
```